Below is a relaxed structure of TaAlAu2, with properties calculated at the PBE level.

a b c (Å): 6.515 6.515 6.515
angles (deg): 90.00 90.00 90.00
Space group F-43m (No. 216)
Symmetry-distinct sites (fractional):
Ta: 0.000 0.000 0.000 [4 per cell]
Al: 0.250 0.250 0.750 [4 per cell]
Au: 0.000 0.000 0.500 [4 per cell]
Au: 0.250 0.250 0.250 [4 per cell]

Calculated values
* spin magnetization: 0.25 μB per formula unit
* total energy: -87.33 eV for the cell shown

***

Below is a relaxed structure of YHo3Lu2Bi2Os, with properties calculated at the PBE level.

a b c (Å): 4.230 14.273 8.199
angles (deg): 90.00 90.00 90.00
Space group Amm2 (No. 38)
Symmetry-distinct sites (fractional):
Y: 0.000 0.000 0.000 [2 per cell]
Ho: 0.500 0.000 0.617 [2 per cell]
Ho: 0.500 0.194 0.041 [4 per cell]
Lu: 0.000 0.116 0.350 [4 per cell]
Bi: 0.000 0.168 0.733 [4 per cell]
Os: 0.500 0.000 0.241 [2 per cell]

Calculated values
* spin magnetization: 0.08 μB per formula unit
* total energy: -107.32 eV for the cell shown

***

> Look up the total energy of the second one.

-107.32 eV for the cell shown

***

Repeat the first record exactly.
Below is a relaxed structure of TaAlAu2, with properties calculated at the PBE level.

a b c (Å): 6.515 6.515 6.515
angles (deg): 90.00 90.00 90.00
Space group F-43m (No. 216)
Symmetry-distinct sites (fractional):
Ta: 0.000 0.000 0.000 [4 per cell]
Al: 0.250 0.250 0.750 [4 per cell]
Au: 0.000 0.000 0.500 [4 per cell]
Au: 0.250 0.250 0.250 [4 per cell]

Calculated values
* spin magnetization: 0.25 μB per formula unit
* total energy: -87.33 eV for the cell shown